Entry from Alexandria: a geometry-optimized HIBr3 structure (PBE).

Distance to the lowest polymorph of the same formula (meV/atom): 0

abc: 5.671 5.671 5.671
angles: 90.00 90.00 90.00
Last column: magnetic moment on the atom in μB.
Sites, in units of the cell vectors:
Br 0.000 0.000 0.500  0.01
Br 0.000 0.500 0.000  0.01
Br 0.500 0.000 0.000  0.00
H 0.500 0.500 0.500  0.38
I 0.000 0.000 0.000  0.00

---

Entry from Alexandria: a geometry-optimized CdH structure (PBE).

Distance to the lowest polymorph of the same formula (meV/atom): 197

abc: 3.073 3.073 3.752
angles: 90.00 90.00 120.00
Sites, in units of the cell vectors:
H 0.000 0.000 0.000
Cd 0.000 0.000 0.500

---

Entry from Alexandria: a geometry-optimized NbPb2Cl structure (PBE).

E_form (uncorrected) (eV per atom): 0.588
Distance to the lowest polymorph of the same formula (meV/atom): 0

abc: 5.245 5.245 5.245
angles: 60.00 60.00 60.00
Last column: magnetic moment on the atom in μB.
Sites, in units of the cell vectors:
Pb 0.250 0.250 0.250  0.01
Pb 0.750 0.750 0.750  0.01
Nb 0.500 0.500 0.500  1.71
Cl 0.000 0.000 0.000  0.05

---

Entry from Alexandria: a geometry-optimized Rb2AcAlS4 structure (PBE).

E_form (uncorrected) (eV per atom): -1.299

abc: 8.504 8.504 8.953
angles: 119.45 119.45 89.61
Sites, in units of the cell vectors:
S 0.819 0.808 0.012
S 0.692 0.681 0.488
S 0.811 0.240 0.038
S 0.189 0.760 0.962
S 0.181 0.192 0.988
S 0.260 0.689 0.462
S 0.308 0.319 0.512
S 0.740 0.311 0.538
Al 0.500 0.500 0.500
Al 0.000 0.000 0.000
Rb 0.500 0.000 0.000
Rb 0.000 0.000 0.500
Rb 0.500 0.500 0.000
Rb 0.500 0.000 0.500
Ac 0.000 0.500 0.500
Ac 0.000 0.500 0.000

---

Entry from Alexandria: a geometry-optimized LaSm2Co structure (PBE).

Energy of formation from the pure elements (eV per atom): -0.11
Distance to the lowest polymorph of the same formula (meV/atom): 0

abc: 6.543 7.024 9.791
angles: 90.00 90.00 90.00
Sites, in units of the cell vectors:
Sm 0.325 0.164 0.069
Sm 0.325 0.164 0.431
Sm 0.825 0.336 0.931
Sm 0.175 0.664 0.431
Sm 0.675 0.836 0.569
Sm 0.825 0.336 0.569
Sm 0.175 0.664 0.069
Sm 0.675 0.836 0.931
La 0.362 0.439 0.750
La 0.138 0.939 0.750
La 0.638 0.561 0.250
La 0.862 0.061 0.250
Co 0.550 0.125 0.750
Co 0.450 0.875 0.250
Co 0.050 0.375 0.250
Co 0.950 0.625 0.750

---

Entry from Alexandria: a geometry-optimized NaHf3Co structure (PBE).

Energy of formation from the pure elements (eV per atom): 1.99
Distance to the lowest polymorph of the same formula (meV/atom): 1584

abc: 4.861 4.861 4.861
angles: 90.00 90.00 90.00
Last column: magnetic moment on the atom in μB.
Sites, in units of the cell vectors:
Co 0.500 0.500 0.500  1.94
Hf 0.000 0.500 0.000  -0.01
Hf 0.500 0.000 0.000  -0.08
Hf 0.000 0.000 0.500  -0.02
Na 0.000 0.000 0.000  0.01

---

Entry from Alexandria: a geometry-optimized K2SrHfO structure (PBE).

E_form (uncorrected) (eV per atom): 0.418

abc: 7.343 4.363 7.343
angles: 90.00 90.00 90.00
Last column: magnetic moment on the atom in μB.
Sites, in units of the cell vectors:
K 0.000 0.000 0.500  0.02
K 0.500 0.000 0.000  0.03
Sr 0.000 0.000 0.000  0.01
Hf 0.500 0.500 0.500  1.38
O 0.000 0.500 0.000  0.07

---

Entry from Alexandria: a geometry-optimized CePr4Er8 structure (PBE).

Energy of formation from the pure elements (eV per atom): 0.53

abc: 7.795 7.795 7.795
angles: 90.18 90.18 90.18
Last column: magnetic moment on the atom in μB.
Sites, in units of the cell vectors:
Er 0.241 0.757 0.241  -0.12
Er 0.243 0.759 0.759  -0.12
Er 0.758 0.758 0.758  -0.11
Er 0.757 0.241 0.241  -0.12
Er 0.241 0.241 0.757  -0.12
Er 0.759 0.759 0.243  -0.12
Er 0.759 0.243 0.759  -0.12
Er 0.242 0.242 0.242  -0.11
Pr 0.000 0.500 0.500  -0.20
Pr 0.000 0.000 0.000  0.10
Pr 0.500 0.500 0.000  -0.20
Pr 0.500 0.000 0.500  -0.20
Ce 0.500 0.500 0.500  -0.60

---

Entry from Alexandria: a geometry-optimized Ag2TeO4 structure (PBE).

E_form (uncorrected) (eV per atom): -0.478
Distance to the lowest polymorph of the same formula (meV/atom): 84

abc: 8.602 6.511 7.228
angles: 77.48 47.63 55.07
Sites, in units of the cell vectors:
Ag 0.442 0.444 0.808
Ag 0.558 0.562 0.192
Ag 0.191 0.195 0.558
Ag 0.808 0.812 0.441
Te 0.125 0.128 0.124
Te 0.875 0.878 0.875
O 0.694 0.857 0.218
O 0.218 0.736 0.694
O 0.782 0.270 0.305
O 0.306 0.149 0.781
O 0.266 0.785 0.145
O 0.734 0.221 0.854
O 0.854 0.697 0.733
O 0.146 0.309 0.266

---

Entry from Alexandria: a geometry-optimized HgGe2Ru2 structure (PBE).

Energy of formation from the pure elements (eV per atom): 0.06

abc: 3.733 3.733 6.651
angles: 73.70 73.70 90.00
Sites, in units of the cell vectors:
Ge 0.250 0.750 0.500
Ge 0.750 0.250 0.500
Hg 0.000 0.000 0.000
Ru 0.613 0.613 0.774
Ru 0.387 0.387 0.226

---

Entry from Alexandria: a geometry-optimized Cs3HoSb2O9 structure (PBE).

E_form (uncorrected) (eV per atom): -1.551

abc: 6.067 6.067 7.453
angles: 90.00 90.00 120.00
Last column: magnetic moment on the atom in μB.
Sites, in units of the cell vectors:
Ho 0.000 0.000 0.500  -0.04
O 0.646 0.823 0.316  0.21
O 0.177 0.354 0.316  0.21
O 0.000 0.500 0.000  0.16
O 0.500 0.500 0.000  0.16
O 0.177 0.823 0.316  0.21
O 0.823 0.646 0.684  0.21
O 0.500 0.000 0.000  0.16
O 0.354 0.177 0.684  0.21
O 0.823 0.177 0.684  0.21
Cs 0.667 0.333 0.337  0.01
Cs 0.333 0.667 0.663  0.01
Cs 0.000 0.000 0.000  0.02
Sb 0.333 0.667 0.162  -0.02
Sb 0.667 0.333 0.838  -0.02

---

Entry from Alexandria: a geometry-optimized Li3Nd2ScTe6 structure (PBE).

E_form (uncorrected) (eV per atom): -1.248

abc: 7.571 7.571 7.484
angles: 99.73 99.73 120.01
Sites, in units of the cell vectors:
Te 0.771 0.771 0.254
Te 0.086 0.401 0.257
Te 0.401 0.086 0.257
Te 0.599 0.914 0.743
Te 0.229 0.229 0.746
Te 0.914 0.599 0.743
Li 0.168 0.832 0.500
Li 0.500 0.500 0.500
Li 0.832 0.168 0.500
Nd 0.667 0.333 0.000
Nd 0.333 0.667 0.000
Sc 0.000 0.000 0.000